[1]
This record from the Alexandria database describes an optimized crystal structure of SmTm3C. The functional is PBE.

abc: 4.9811 4.9811 4.9811
angles: 90.00 90.00 90.00
Fractional positions:
1 C 0.0000 0.0000 0.0000
2 Tm 0.0000 0.5000 0.0000
3 Tm 0.0000 0.0000 0.5000
4 Tm 0.5000 0.0000 0.0000
5 Sm 0.5000 0.5000 0.5000

Values from the calculation:
**Calculated total energy**: -27.556 eV/cell
**D(E_F)**: 4.7 states/eV/f.u.
**Crystal system**: cubic
**Magnetization**: 0.0 μB/f.u.


[2]
This record from the Alexandria database describes an optimized crystal structure of Ga4SnRh. The functional is PBE.

abc: 5.5720 5.7043 7.8189
angles: 83.16 83.14 79.97
Fractional positions:
1 Ga 0.0192 0.0301 0.3200
2 Ga 0.9435 0.5269 0.2378
3 Ga 0.4930 0.0785 0.3140
4 Ga 0.4244 0.0056 0.6864
5 Ga 0.9726 0.5558 0.7624
6 Ga 0.8985 0.0526 0.6799
7 Ga 0.4853 0.4727 0.6791
8 Ga 0.4307 0.6116 0.3208
9 Sn 0.7209 0.2601 0.0090
10 Sn 0.1949 0.8226 0.9906
11 Rh 0.7530 0.7499 0.4990
12 Rh 0.1640 0.3336 0.5010

Values from the calculation:
**Calculated total energy**: -49.254 eV/cell
**D(E_F)**: 2.6 states/eV/f.u.
**Crystal system**: triclinic
**Magnetization**: 0.0 μB/f.u.


[3]
This record from the Alexandria database describes an optimized crystal structure of Ta2CuRu. The functional is PBE.

abc: 2.9966 3.7530 5.5570
angles: 90.00 90.00 90.00
Fractional positions:
1 Cu 0.5000 0.5000 0.2500
2 Ru 0.5000 0.5000 0.7500
3 Ta 0.0000 0.0000 0.9978
4 Ta 0.0000 0.0000 0.5022

Values from the calculation:
**Calculated total energy**: -37.364 eV/cell
**D(E_F)**: 2.9 states/eV/f.u.
**Crystal system**: orthorhombic
**Magnetization**: 0.0 μB/f.u.


[4]
This record from the Alexandria database describes an optimized crystal structure of Pm3In8Ag3. The functional is PBE.

abc: 4.7511 8.9662 8.9662
angles: 72.34 74.64 74.64
Fractional positions:
1 Pm 0.5000 0.5000 0.5000
2 Pm 0.7944 0.2056 0.2056
3 Pm 0.2056 0.7944 0.7944
4 In 0.6381 0.0666 0.6573
5 In 0.3619 0.9334 0.3427
6 In 0.6381 0.6573 0.0666
7 In 0.3619 0.3427 0.9334
8 In 0.8554 0.7803 0.5090
9 In 0.1446 0.2197 0.4910
10 In 0.8554 0.5090 0.7803
11 In 0.1446 0.4910 0.2197
12 Ag 0.5000 0.0000 0.0000
13 Ag 0.0000 0.8388 0.1612
14 Ag 0.0000 0.1612 0.8388

Values from the calculation:
**Calculated total energy**: -49.296 eV/cell
**D(E_F)**: 4.8 states/eV/f.u.
**Crystal system**: orthorhombic
**Magnetization**: 0.0 μB/f.u.


[5]
This record from the Alexandria database describes an optimized crystal structure of Tb5PmNd2Y. The functional is PBE.

abc: 8.7369 8.7369 9.9993
angles: 115.90 115.90 90.00
Fractional positions:
1 Tb 0.9271 0.4271 0.2774
2 Tb 0.6497 0.1497 0.7226
3 Tb 0.0729 0.5729 0.7226
4 Tb 0.1497 0.0729 0.7226
5 Tb 0.5729 0.6497 0.7226
6 Tb 0.8503 0.9271 0.2774
7 Tb 0.4271 0.3503 0.2774
8 Tb 0.3503 0.8503 0.2774
9 Tb 0.5000 0.5000 0.0000
10 Tb 0.0000 0.0000 0.0000
11 Pm 0.2500 0.2500 0.5000
12 Pm 0.7500 0.7500 0.5000
13 Nd 0.1176 0.3824 0.0000
14 Nd 0.6176 0.1176 0.0000
15 Nd 0.3824 0.8824 0.0000
16 Nd 0.8824 0.6176 0.0000
17 Y 0.2500 0.7500 0.5000
18 Y 0.7500 0.2500 0.5000

Values from the calculation:
**Calculated total energy**: -83.038 eV/cell
**D(E_F)**: 11.5 states/eV/f.u.
**Crystal system**: tetragonal
**Magnetization**: 0.0 μB/f.u.


[6]
This record from the Alexandria database describes an optimized crystal structure of La5NdGa3. The functional is PBE.

abc: 6.9805 9.3095 9.3093
angles: 120.00 90.00 90.00
Fractional positions:
1 La 0.0000 0.6666 0.3331
2 La 0.5000 0.3334 0.6669
3 La 0.0000 0.3334 0.6669
4 La 0.5000 0.6666 0.3331
5 La 0.7500 0.6616 0.6615
6 La 0.7500 0.0000 0.3385
7 La 0.7500 0.3384 0.0000
8 La 0.2500 0.3384 0.3385
9 La 0.2500 0.0000 0.6615
10 La 0.2500 0.6616 0.0000
11 Nd 0.0000 0.0000 0.0000
12 Nd 0.5000 0.0000 0.0000
13 Ga 0.7500 0.3263 0.3263
14 Ga 0.7500 0.0000 0.6737
15 Ga 0.7500 0.6737 0.0000
16 Ga 0.2500 0.6737 0.6737
17 Ga 0.2500 0.0000 0.3263
18 Ga 0.2500 0.3263 0.0000

Values from the calculation:
**Calculated total energy**: -83.784 eV/cell
**D(E_F)**: 9.8 states/eV/f.u.
**Crystal system**: hexagonal
**Magnetization**: 0.0 μB/f.u.


[7]
This record from the Alexandria database describes an optimized crystal structure of Hf2RhW. The functional is PBE.

abc: 7.3112 7.3112 5.9189
angles: 51.86 51.86 90.00
Fractional positions:
1 Rh 0.5000 0.5000 0.0000
2 Rh 0.2500 0.7500 0.5000
3 Hf 0.6037 0.1250 0.2500
4 Hf 0.1463 0.6250 0.2500
5 Hf 0.3750 0.3963 0.7500
6 Hf 0.8750 0.8537 0.7500
7 W 0.0000 0.0000 0.0000
8 W 0.7500 0.2500 0.5000

Values from the calculation:
**D(E_F)**: 4.3 states/eV/f.u.
**Crystal system**: tetragonal
**Magnetization**: 0.0 μB/f.u.
**Distance to the lowest polymorph of the same formula**: 2.95 eV per formula unit


[8]
This record from the Alexandria database describes an optimized crystal structure of ThZrAl2. The functional is PBE.

abc: 4.3334 7.7091 10.9610
angles: 90.00 90.00 90.00
Fractional positions:
1 Th 0.7500 0.7138 0.3107
2 Th 0.7500 0.2138 0.1893
3 Th 0.2500 0.2862 0.6893
4 Th 0.2500 0.7862 0.8107
5 Zr 0.2500 0.0462 0.4045
6 Zr 0.7500 0.9538 0.5955
7 Zr 0.2500 0.5462 0.0955
8 Zr 0.7500 0.4538 0.9045
9 Al 0.7500 0.7984 0.0238
10 Al 0.2500 0.2016 0.9762
11 Al 0.7500 0.2984 0.4762
12 Al 0.2500 0.7016 0.5238
13 Al 0.7500 0.0809 0.8576
14 Al 0.2500 0.4191 0.3576
15 Al 0.7500 0.5809 0.6424
16 Al 0.2500 0.9191 0.1424

Values from the calculation:
**D(E_F)**: 2.9 states/eV/f.u.
**Crystal system**: orthorhombic
**Magnetization**: 0.0 μB/f.u.
**Distance to the lowest polymorph of the same formula**: 0.00 eV per formula unit